Below is K4Pm3PuTe8 after structural relaxation, with properties calculated at the PBE-GGA level.

Lattice parameters (Å, degrees): 9.794 9.794 9.794 55.93 55.93 55.93
Fractional coordinates of all 16 atoms:
K 0.000 0.000 0.000
K 0.000 0.500 0.500
K 0.500 0.000 0.500
K 0.500 0.500 0.000
Pm 0.000 0.000 0.500
Pm 0.000 0.500 0.000
Pm 0.500 0.000 0.000
Pu 0.500 0.500 0.500
Te 0.238 0.238 0.238
Te 0.238 0.737 0.737
Te 0.263 0.263 0.762
Te 0.263 0.762 0.263
Te 0.737 0.238 0.737
Te 0.737 0.737 0.238
Te 0.762 0.263 0.263
Te 0.762 0.762 0.762

Properties
For the energy, the calculation gives -4.965 eV/atom. The density of states at the Fermi level is 13.90 states/eV per cell.